A relaxed CaHg2GeI crystal. Source: the Alexandria database, functional GGA-PBE.

Calculated values
Raw formation energy in eV per atom: -0.073
Total energy in eV/cell: -9.14
V in Å³/f.u.: 170.6

Structure (POSCAR):
```
CaHg2GeI
1.0
5.349 0.000 0.000
0.000 5.349 0.000
0.000 0.000 5.964
Ca Hg Ge I
1 2 1 1
Cartesian
0.000 0.000 0.000
0.000 2.675 2.982
2.675 0.000 2.982
2.675 2.675 2.982
2.675 2.675 0.000
```